Record 1
# PBE Sc4TcAu, relaxed
data_Sc4TcAu
_chemical_formula_sum 'Sc8 Tc2 Au2'
_cell_length_a 5.144
_cell_length_b 6.099
_cell_length_c 8.993
_cell_angle_alpha 90.00
_cell_angle_beta 119.32
_cell_angle_gamma 90.00
_space_group_name_H-M_alt 'P 1'
_space_group_IT_number 1
loop_
_space_group_symop_operation_xyz
'x,y,z'
loop_
_atom_site_label
_atom_site_type_symbol
_atom_site_fract_x
_atom_site_fract_y
_atom_site_fract_z
Sc1 Sc 0.575 0.250 0.417
Sc2 Sc 0.425 0.750 0.583
Sc3 Sc 0.668 0.250 0.885
Sc4 Sc 0.332 0.750 0.115
Sc5 Sc 0.946 0.004 0.261
Sc6 Sc 0.054 0.504 0.739
Sc7 Sc 0.946 0.496 0.261
Sc8 Sc 0.054 0.996 0.739
Tc1 Tc 0.212 0.250 0.557
Tc2 Tc 0.788 0.750 0.443
Au1 Au 0.319 0.250 0.061
Au2 Au 0.681 0.750 0.939
# E above lowest polymorph ... 0 meV/atom
# Theoretical density ... 6.4 g/cm3
# Total magnetization ... 0.000 μB/f.u.
# D(E_F) ... 1.02 states/eV per atom

=====

Record 2
# PBE Mg2InPt3, relaxed
data_Mg2InPt3
_chemical_formula_sum 'Mg2 In1 Pt3'
_cell_length_a 3.730
_cell_length_b 4.213
_cell_length_c 6.674
_cell_angle_alpha 108.40
_cell_angle_beta 90.00
_cell_angle_gamma 90.00
_space_group_name_H-M_alt 'P 1'
_space_group_IT_number 1
loop_
_space_group_symop_operation_xyz
'x,y,z'
loop_
_atom_site_label
_atom_site_type_symbol
_atom_site_fract_x
_atom_site_fract_y
_atom_site_fract_z
Mg1 Mg 0.000 0.331 0.662
Mg2 Mg 0.000 0.669 0.338
In1 In 0.000 0.000 0.000
Pt1 Pt 0.500 0.500 0.000
Pt2 Pt 0.500 0.831 0.661
Pt3 Pt 0.500 0.169 0.339
# E above lowest polymorph ... 0 meV/atom
# Theoretical density ... 12.5 g/cm3
# Total magnetization ... 0.000 μB/f.u.
# D(E_F) ... 0.19 states/eV per atom

=====

Record 3
# PBE TiTcN2, relaxed
data_TiTcN2
_chemical_formula_sum 'Ti1 Tc1 N2'
_cell_length_a 3.757
_cell_length_b 3.757
_cell_length_c 3.757
_cell_angle_alpha 60.00
_cell_angle_beta 60.00
_cell_angle_gamma 60.00
_space_group_name_H-M_alt 'P 1'
_space_group_IT_number 1
loop_
_space_group_symop_operation_xyz
'x,y,z'
loop_
_atom_site_label
_atom_site_type_symbol
_atom_site_fract_x
_atom_site_fract_y
_atom_site_fract_z
N1 N 0.250 0.250 0.250
N2 N 0.750 0.750 0.750
Tc1 Tc 0.500 0.500 0.500
Ti1 Ti 0.000 0.000 0.000
# Raw formation energy ... -0.170 eV per atom
# E above lowest polymorph ... 445 meV/atom
# Theoretical density ... 7.7 g/cm3
# Total magnetization ... 0.999 μB/f.u.
# D(E_F) ... 1.40 states/eV per atom

=====

Record 4
# PBE PuVHg, relaxed
data_PuVHg
_chemical_formula_sum 'Pu2 V2 Hg2'
_cell_length_a 3.287
_cell_length_b 5.785
_cell_length_c 6.356
_cell_angle_alpha 103.22
_cell_angle_beta 90.00
_cell_angle_gamma 106.50
_space_group_name_H-M_alt 'P 1'
_space_group_IT_number 1
loop_
_space_group_symop_operation_xyz
'x,y,z'
loop_
_atom_site_label
_atom_site_type_symbol
_atom_site_fract_x
_atom_site_fract_y
_atom_site_fract_z
V1 V 0.989 0.979 0.688
V2 V 0.011 0.021 0.312
Pu1 Pu 0.314 0.628 0.449
Pu2 Pu 0.686 0.372 0.551
Hg1 Hg 0.360 0.720 0.965
Hg2 Hg 0.640 0.280 0.035
# Theoretical density ... 14.6 g/cm3
# Total magnetization ... 0.000 μB/f.u.
# D(E_F) ... 1.61 states/eV per atom

=====

Record 5
# PBE Tm2CoAu, relaxed
data_Tm2CoAu
_chemical_formula_sum 'Tm2 Co1 Au1'
_cell_length_a 3.732
_cell_length_b 3.732
_cell_length_c 8.861
_cell_angle_alpha 77.84
_cell_angle_beta 77.84
_cell_angle_gamma 60.00
_space_group_name_H-M_alt 'P 1'
_space_group_IT_number 1
loop_
_space_group_symop_operation_xyz
'x,y,z'
loop_
_atom_site_label
_atom_site_type_symbol
_atom_site_fract_x
_atom_site_fract_y
_atom_site_fract_z
Co1 Co 0.500 0.500 0.500
Tm1 Tm 0.110 0.110 0.670
Tm2 Tm 0.890 0.890 0.330
Au1 Au 0.000 0.000 0.000
# Theoretical density ... 9.5 g/cm3
# Total magnetization ... 0.000 μB/f.u.
# D(E_F) ... 0.32 states/eV per atom

=====

Record 6
# PBE TlSnOs2, relaxed
data_TlSnOs2
_chemical_formula_sum 'Tl2 Sn2 Os4'
_cell_length_a 7.603
_cell_length_b 7.603
_cell_length_c 6.034
_cell_angle_alpha 50.95
_cell_angle_beta 50.95
_cell_angle_gamma 90.00
_space_group_name_H-M_alt 'P 1'
_space_group_IT_number 1
loop_
_space_group_symop_operation_xyz
'x,y,z'
loop_
_atom_site_label
_atom_site_type_symbol
_atom_site_fract_x
_atom_site_fract_y
_atom_site_fract_z
Tl1 Tl 0.000 0.000 0.000
Tl2 Tl 0.750 0.250 0.500
Os1 Os 0.614 0.125 0.250
Os2 Os 0.136 0.625 0.250
Os3 Os 0.375 0.386 0.750
Os4 Os 0.875 0.864 0.750
Sn1 Sn 0.500 0.500 0.000
Sn2 Sn 0.250 0.750 0.500
# E above lowest polymorph ... 463 meV/atom
# Theoretical density ... 14.8 g/cm3
# Total magnetization ... 0.000 μB/f.u.
# D(E_F) ... 0.86 states/eV per atom

=====

| no. | calculated total energy (eV for the cell shown) |
| --- | --- |
| 1 | -82.75 |
| 2 | -28.59 |
| 3 | -35.59 |
| 4 | -45.40 |
| 5 | -19.32 |
| 6 | -47.31 |